The following is a DFT calculation (PBE-GGA) of crystalline Tc2HgIr at its relaxed geometry.

a = 2.8313 Å, b = 4.4848 Å, c = 5.0270 Å
α = 90.00°, β = 90.00°, γ = 90.00°
Closest atoms and distances in Å follow each position.
Element x y z (fractional)
Tc (0.0000, 0.0000, 0.0000)  4 Tc 2.61-2.83, 2 Ir 2.66, 4 Hg 2.89
Tc (0.0000, 0.5000, 0.2644)  4 Tc 2.61-2.83, 4 Ir 2.81, 4 Hg 2.85-2.91
Hg (0.5000, 0.5000, 0.7713)  2 Ir 2.77, 2 Hg 2.83, 8 Tc 2.85-2.91
Ir (0.5000, 0.0000, 0.4484)  6 Tc 2.66-2.81, 2 Hg 2.77, 2 Ir 2.83

Summary:
ΔE_f, eV/f.u.: 1.45
DOS at the Fermi energy, states/eV/f.u.: 3.2
Total magnetic moment, μB per cell: 0.0